1.
The following is a GGA-PBE calculation of a geometry-optimized NaPmIrAu structure, from the Alexandria database.

DFT total energy (eV per atom): -4.8243
Spin magnetization (μB/cell): 0.0
E_form (eV per formula unit): -1.09
Crystal system: cubic

Unit cell a=4.9417 b=4.9417 c=4.9417 alpha=60.00 beta=60.00 gamma=60.00
Sites, in units of the cell vectors:
Na: 0.0000 0.0000 0.0000
Pm: 0.5000 0.5000 0.5000
Ir: 0.7500 0.7500 0.7500
Au: 0.2500 0.2500 0.2500

***

2.
The following is a GGA-PBE calculation of a geometry-optimized CaPdI2O structure, from the Alexandria database.

DFT total energy (eV per atom): -3.6649
Formation energy from raw total energies (meV/atom): -614
Energy above the most stable polymorph in this dataset (eV/atom): 0.000
Spin magnetization (μB/cell): 0.0
Crystal system: tetragonal

Unit cell a=5.6175 b=5.6175 c=4.0479 alpha=90.00 beta=90.00 gamma=90.00
Sites, in units of the cell vectors:
Ca: 0.0000 0.0000 0.0000
Pd: 0.5000 0.5000 0.5000
I: 0.0000 0.5000 0.5000
I: 0.5000 0.0000 0.5000
O: 0.5000 0.5000 0.0000

***

3.
The following is a GGA-PBE calculation of a geometry-optimized ThMgGe2 structure, from the Alexandria database.

DFT total energy (eV per atom): -5.0193
Spin magnetization (μB/cell): 0.0
E_form (eV per formula unit): -1.83
Crystal system: tetragonal

Unit cell a=4.6581 b=4.6581 c=4.1275 alpha=90.00 beta=90.00 gamma=90.00
Sites, in units of the cell vectors:
Th: 0.0000 0.0000 0.0000
Mg: 0.5000 0.5000 0.0000
Ge: 0.0000 0.5000 0.5000
Ge: 0.5000 0.0000 0.5000

***

4.
The following is a GGA-PBE calculation of a geometry-optimized Hf2MnNiH structure, from the Alexandria database.

DFT total energy (eV per atom): -7.9198
Spin magnetization (μB/cell): 0.0
Crystal system: tetragonal

Unit cell a=4.4578 b=4.4578 c=3.3060 alpha=90.00 beta=90.00 gamma=90.00
Sites, in units of the cell vectors:
Hf: 0.0000 0.5000 0.0000
Hf: 0.5000 0.0000 0.0000
Mn: 0.0000 0.0000 0.5000
Ni: 0.5000 0.5000 0.5000
H: 0.5000 0.5000 0.0000